Entry 1:
A PBEsol-optimized structure of Re2SbOs. Source: Alexandria via LeMat-Bulk, functional SCAN.

Unit cell a=2.847 b=4.109 c=5.597 alpha=90.00 beta=104.73 gamma=90.00
Fractional coordinates of all 4 atoms:
Os 0.672 0.500 0.344
Re 0.066 0.000 0.133
Re 0.435 0.500 0.870
Sb 0.820 0.000 0.640

Results
energy = -62.253 eV/atom
raw formation energy = 56.1 kJ per mole of atoms
density = 18.0 Mg/m³


Entry 2:
A PBEsol-optimized structure of Tl2SiMo. Source: Alexandria via LeMat-Bulk, functional SCAN.

Unit cell a=4.188 b=4.188 c=5.292 alpha=113.31 beta=113.31 gamma=90.00
Fractional coordinates of all 4 atoms:
Tl 0.000 0.000 0.000
Tl 0.750 0.250 0.500
Mo 0.500 0.500 0.000
Si 0.250 0.750 0.500

Results
energy above the most stable polymorph in this dataset = 1.72 eV/f.u.
energy = -46.543 eV/atom
raw formation energy = 83.2 kJ per mole of atoms
density = 11.5 Mg/m³


Entry 3:
A PBEsol-optimized structure of SrLi2Tl. Source: Alexandria via LeMat-Bulk, functional SCAN.

Unit cell a=4.801 b=4.817 c=6.182 alpha=112.81 beta=90.00 gamma=119.89
Fractional coordinates of all 4 atoms:
Tl 0.699 0.398 0.097
Sr 0.494 0.988 0.482
Li 0.301 0.602 0.902
Li 0.006 0.012 0.018

Results
formation energy = -0.336 eV per atom
energy = -25.189 eV/atom
density = 4.6 Mg/m³


Entry 4:
A PBEsol-optimized structure of Pr3Lu. Source: Alexandria via LeMat-Bulk, functional SCAN.

Unit cell a=5.778 b=7.207 c=7.207 alpha=120.00 beta=90.00 gamma=90.00
Fractional coordinates of all 8 atoms:
Pr 0.750 0.832 0.664
Pr 0.750 0.832 0.168
Pr 0.750 0.336 0.168
Pr 0.250 0.664 0.832
Pr 0.250 0.168 0.832
Pr 0.250 0.168 0.336
Lu 0.250 0.667 0.333
Lu 0.750 0.333 0.667

Results
formation energy = 0.026 eV per atom
energy = -46.304 eV/atom
density = 7.6 Mg/m³